{"formula": "K3PuMn2O8", "functional": "GGA+U", "state": "relaxed", "cell": [[5.9839, 0.0000, 0.0000], [-2.9920, 5.1822, 0.0000], [0.0000, 0.0000, 7.6827]], "species": ["K", "K", "K", "Pu", "Mn", "Mn", "O", "O", "O", "O", "O", "O", "O", "O"], "frac_coords": [[0.3333, 0.6667, 0.6933], [0.6667, 0.3333, 0.3067], [0.0000, 0.0000, 0.0000], [0.0000, 0.0000, 0.5000], [0.3333, 0.6667, 0.2461], [0.6667, 0.3333, 0.7539], [0.3333, 0.6667, 0.0231], [0.6667, 0.3333, 0.9769], [0.1626, 0.8374, 0.3419], [0.8374, 0.1626, 0.6581], [0.1626, 0.3253, 0.3419], [0.8374, 0.6747, 0.6581], [0.6747, 0.8374, 0.3419], [0.3253, 0.1626, 0.6581]], "volume_a3_per_cell": 238, "total_magnetization_mub_per_cell": 9.00, "final_energy_ev_per_atom": -6.916}